# LaRe4As

A relaxed structure of LaRe4As (PBE-GGA, Alexandria).

Cell and atoms, written as POSCAR:
```
LaRe4As
1.0
0.0000 3.8262 3.8262
3.8262 0.0000 3.8262
3.8262 3.8262 0.0000
La Re As
1 4 1
direct
0.0000 0.0000 0.0000 La
0.1288 0.6237 0.6237 Re
0.6237 0.1288 0.6237 Re
0.6237 0.6237 0.1288 Re
0.6237 0.6237 0.6237 Re
0.2500 0.2500 0.2500 As
```

Output
As for the magnetic moment: 0.0 μB/f.u. The crystal system is cubic. The value obtained for the total energy is -9.4377 eV/atom. For the formation energy, the calculation gives 0.46 eV/atom.

# Ti2IrOs2

A relaxed structure of Ti2IrOs2 (PBE-GGA, Alexandria).

Cell and atoms, written as POSCAR:
```
Ti2IrOs2
1.0
6.7091 -2.1019 0.0000
6.7091 2.1019 0.0000
-0.4857 0.0000 5.3310
Ti Ir Os
4 2 4
direct
0.0997 0.0997 0.4789 Ti
0.3023 0.3023 0.1846 Ti
0.6977 0.6977 0.8154 Ti
0.9003 0.9003 0.5211 Ti
0.1020 0.1020 0.9745 Ir
0.8980 0.8980 0.0255 Ir
0.2927 0.2927 0.6797 Os
0.4820 0.4820 0.7589 Os
0.5180 0.5180 0.2411 Os
0.7073 0.7073 0.3203 Os
```

Output
As for the magnetic moment: 0.0 μB/f.u. The crystal system is monoclinic. The value obtained for the total energy is -9.8580 eV/atom. For the formation energy, the calculation gives -0.44 eV/atom.

# SbRu2Pb

A relaxed structure of SbRu2Pb (PBE-GGA, Alexandria).

Cell and atoms, written as POSCAR:
```
SbRu2Pb
1.0
3.2319 0.0000 0.0000
0.0000 5.1354 0.0000
0.0000 0.0000 4.5460
Sb Ru Pb
1 2 1
direct
0.0000 0.0000 0.0000 Sb
0.0000 0.5000 0.2282 Ru
0.5000 0.0000 0.4623 Ru
0.5000 0.5000 0.7195 Pb
```

Output
As for the magnetic moment: 0.0 μB/f.u. The crystal system is orthorhombic. The value obtained for the total energy is -6.2580 eV/atom.

# LiTbTl

A relaxed structure of LiTbTl (PBE-GGA, Alexandria).

Cell and atoms, written as POSCAR:
```
LiTbTl
1.0
4.5756 0.0000 0.0000
0.0000 4.8893 0.0000
-2.2629 0.0000 6.1665
Li Tb Tl
2 2 2
direct
0.2373 0.2500 0.4777 Li
0.7627 0.7500 0.5223 Li
0.1026 0.7500 0.1934 Tb
0.8974 0.2500 0.8066 Tb
0.3853 0.7500 0.7729 Tl
0.6147 0.2500 0.2271 Tl
```

Output
As for the magnetic moment: 0.0 μB/f.u. The crystal system is monoclinic. The value obtained for the total energy is -3.1890 eV/atom. For the formation energy, the calculation gives -0.22 eV/atom.